Record 1
# La5Pr8Tm, relaxed, DFT PBE-GGA
data_La5Pr8Tm
_chemical_formula_sum 'La5 Pr8 Tm1'
_space_group_name_H-M_alt 'P 1'
_space_group_IT_number 1
_space_group_name_Hall 'P 1'
_cell_length_a 8.7304
_cell_length_b 8.7304
_cell_length_c 8.7304
_cell_angle_alpha 110.37
_cell_angle_beta 110.37
_cell_angle_gamma 107.68
loop_
_atom_site_label
_atom_site_fract_x
_atom_site_fract_y
_atom_site_fract_z
La1 0.0000 0.0000 0.0000
La2 0.3137 0.2085 0.6822
La3 0.3685 0.6863 0.8947
La4 0.5262 0.6315 0.3178
La5 0.7915 0.4738 0.1053
Pr1 0.0226 0.7601 0.5993
Pr2 0.0615 0.3239 0.8932
Pr3 0.1608 0.4232 0.4007
Pr4 0.2399 0.8392 0.2625
Pr5 0.4306 0.1682 0.1068
Pr6 0.5768 0.9774 0.7375
Pr7 0.6761 0.5694 0.7376
Pr8 0.8318 0.9385 0.2624
Tm1 0.7500 0.2500 0.5000
# - E_form: 3.1 eV per formula unit
# - Symmetry: I-4 (82)
# - Crystal system: tetragonal

***

Record 2
# La2Pr3Tm3, relaxed, DFT PBE-GGA
data_La2Pr3Tm3
_chemical_formula_sum 'La2 Pr3 Tm3'
_space_group_name_H-M_alt 'P 1'
_space_group_IT_number 1
_space_group_name_Hall 'P 1'
_cell_length_a 10.9131
_cell_length_b 10.9131
_cell_length_c 10.9131
_cell_angle_alpha 152.90
_cell_angle_beta 152.57
_cell_angle_gamma 38.94
loop_
_atom_site_label
_atom_site_fract_x
_atom_site_fract_y
_atom_site_fract_z
La1 0.2500 0.2500 0.0000
La2 0.7500 0.7500 0.0000
Pr1 0.0000 0.0000 0.0000
Pr2 0.3779 0.8779 0.5000
Pr3 0.6221 0.1221 0.5000
Tm1 0.1227 0.6227 0.5000
Tm2 0.5000 0.5000 0.0000
Tm3 0.8773 0.3773 0.5000
# - E_form: 0.2 eV per formula unit
# - Distance to the lowest polymorph of the same formula: 0.000 eV per atom
# - Symmetry: Immm (71)
# - Crystal system: orthorhombic

***

Record 3
# La4PrTm4, relaxed, DFT PBE-GGA
data_La4PrTm4
_chemical_formula_sum 'La4 Pr1 Tm4'
_space_group_name_H-M_alt 'P 1'
_space_group_IT_number 1
_space_group_name_Hall 'P 1'
_cell_length_a 8.1030
_cell_length_b 8.1030
_cell_length_c 8.1030
_cell_angle_alpha 95.77
_cell_angle_beta 95.77
_cell_angle_gamma 143.04
loop_
_atom_site_label
_atom_site_fract_x
_atom_site_fract_y
_atom_site_fract_z
La1 0.0000 0.3311 0.3311
La2 0.0000 0.6689 0.6689
La3 0.3311 0.0000 0.3311
La4 0.6689 0.0000 0.6689
Pr1 0.0000 0.0000 0.0000
Tm1 0.3347 0.3347 0.6693
Tm2 0.3347 0.6653 0.0000
Tm3 0.6653 0.3347 0.0000
Tm4 0.6653 0.6653 0.3307
# - E_form: 0.3 eV per formula unit
# - Distance to the lowest polymorph of the same formula: 0.000 eV per atom
# - Symmetry: I4/mmm (139)
# - Crystal system: tetragonal

***

Record 4
# La4Pr10Tm, relaxed, DFT PBE-GGA
data_La4Pr10Tm
_chemical_formula_sum 'La4 Pr10 Tm1'
_space_group_name_H-M_alt 'P 1'
_space_group_IT_number 1
_space_group_name_Hall 'P 1'
_cell_length_a 9.2311
_cell_length_b 9.2311
_cell_length_c 9.2311
_cell_angle_alpha 100.91
_cell_angle_beta 100.91
_cell_angle_gamma 128.42
loop_
_atom_site_label
_atom_site_fract_x
_atom_site_fract_y
_atom_site_fract_z
La1 0.2265 0.2265 0.4531
La2 0.2265 0.7735 0.0000
La3 0.7735 0.2265 0.0000
La4 0.7735 0.7735 0.5469
Pr1 0.0783 0.2887 0.7896
Pr2 0.2500 0.7500 0.5000
Pr3 0.2887 0.0783 0.7896
Pr4 0.2887 0.4991 0.2104
Pr5 0.4991 0.2887 0.2104
Pr6 0.5009 0.7113 0.7896
Pr7 0.7113 0.5009 0.7896
Pr8 0.7113 0.9217 0.2104
Pr9 0.7500 0.2500 0.5000
Pr10 0.9217 0.7113 0.2104
Tm1 0.0000 0.0000 0.0000
# - E_form: 3.0 eV per formula unit
# - Symmetry: I4/mmm (139)
# - Crystal system: tetragonal

***

Record 5
# LaPr3Tm2, relaxed, DFT PBE-GGA
data_LaPr3Tm2
_chemical_formula_sum 'La1 Pr3 Tm2'
_space_group_name_H-M_alt 'P 1'
_space_group_IT_number 1
_space_group_name_Hall 'P 1'
_cell_length_a 10.5146
_cell_length_b 10.5146
_cell_length_c 10.5146
_cell_angle_alpha 160.78
_cell_angle_beta 146.78
_cell_angle_gamma 38.66
loop_
_atom_site_label
_atom_site_fract_x
_atom_site_fract_y
_atom_site_fract_z
La1 0.0000 0.0000 0.0000
Pr1 0.1909 0.1909 0.0000
Pr2 0.5000 0.0000 0.5000
Pr3 0.8091 0.8091 0.0000
Tm1 0.3620 0.3620 0.0000
Tm2 0.6380 0.6380 0.0000
# - E_form: 1.8 eV per formula unit
# - Distance to the lowest polymorph of the same formula: 0.040 eV per atom
# - Symmetry: Immm (71)
# - Crystal system: orthorhombic

***

Record 6
# LaPr8Tm2, relaxed, DFT PBE-GGA
data_LaPr8Tm2
_chemical_formula_sum 'La1 Pr8 Tm2'
_space_group_name_H-M_alt 'P 1'
_space_group_IT_number 1
_space_group_name_Hall 'P 1'
_cell_length_a 9.5975
_cell_length_b 9.5975
_cell_length_c 6.0931
_cell_angle_alpha 105.69
_cell_angle_beta 105.69
_cell_angle_gamma 122.44
loop_
_atom_site_label
_atom_site_fract_x
_atom_site_fract_y
_atom_site_fract_z
La1 0.0000 0.0000 0.0000
Pr1 0.0986 0.3405 0.6845
Pr2 0.2057 0.7943 0.0000
Pr3 0.3405 0.0986 0.6845
Pr4 0.4227 0.4227 0.2041
Pr5 0.5773 0.5773 0.7959
Pr6 0.6595 0.9014 0.3155
Pr7 0.7943 0.2057 0.0000
Pr8 0.9014 0.6595 0.3155
Tm1 0.3108 0.6892 0.5000
Tm2 0.6892 0.3108 0.5000
# - E_form: 1.4 eV per formula unit
# - Distance to the lowest polymorph of the same formula: 0.024 eV per atom
# - Symmetry: C2/m (12)
# - Crystal system: monoclinic

***

Record 7
# La2PrTm8, relaxed, DFT PBE-GGA
data_La2PrTm8
_chemical_formula_sum 'La2 Pr1 Tm8'
_space_group_name_H-M_alt 'P 1'
_space_group_IT_number 1
_space_group_name_Hall 'P 1'
_cell_length_a 9.4082
_cell_length_b 9.4082
_cell_length_c 7.9526
_cell_angle_alpha 104.68
_cell_angle_beta 104.68
_cell_angle_gamma 31.14
loop_
_atom_site_label
_atom_site_fract_x
_atom_site_fract_y
_atom_site_fract_z
La1 0.2276 0.2276 0.1373
La2 0.7724 0.7724 0.8627
Pr1 0.5000 0.5000 0.5000
Tm1 0.0436 0.0436 0.2258
Tm2 0.1354 0.1354 0.6766
Tm3 0.3191 0.3191 0.5938
Tm4 0.4112 0.4112 0.0447
Tm5 0.5888 0.5888 0.9553
Tm6 0.6809 0.6809 0.4062
Tm7 0.8646 0.8646 0.3234
Tm8 0.9564 0.9564 0.7742
# - E_form: 0.4 eV per formula unit
# - Distance to the lowest polymorph of the same formula: 0.000 eV per atom
# - Symmetry: C2/m (12)
# - Crystal system: monoclinic

***

Record 8
# La5Pr12Tm2, relaxed, DFT PBE-GGA
data_La5Pr12Tm2
_chemical_formula_sum 'La5 Pr12 Tm2'
_space_group_name_H-M_alt 'P 1'
_space_group_IT_number 1
_space_group_name_Hall 'P 1'
_cell_length_a 10.4539
_cell_length_b 10.4539
_cell_length_c 10.3343
_cell_angle_alpha 112.88
_cell_angle_beta 112.88
_cell_angle_gamma 42.44
loop_
_atom_site_label
_atom_site_fract_x
_atom_site_fract_y
_atom_site_fract_z
La1 0.0000 0.0000 0.0000
La2 0.1755 0.1755 0.6706
La3 0.3241 0.3241 0.2987
La4 0.6759 0.6759 0.7013
La5 0.8245 0.8245 0.3294
Pr1 0.0115 0.0115 0.7189
Pr2 0.0773 0.5892 0.9941
Pr3 0.0917 0.5916 0.6461
Pr4 0.4084 0.9083 0.3539
Pr5 0.4108 0.9227 0.0059
Pr6 0.4929 0.4929 0.1775
Pr7 0.5071 0.5071 0.8225
Pr8 0.5892 0.0773 0.9941
Pr9 0.5916 0.0917 0.6461
Pr10 0.9083 0.4084 0.3539
Pr11 0.9227 0.4108 0.0059
Pr12 0.9885 0.9885 0.2811
Tm1 0.2972 0.7028 0.5000
Tm2 0.7028 0.2972 0.5000
# - E_form: 2.9 eV per formula unit
# - Distance to the lowest polymorph of the same formula: 0.048 eV per atom
# - Symmetry: C2/m (12)
# - Crystal system: monoclinic